A relaxed structure of ZrW3Au, computed with GGA-PBE.

Unit cell a=4.8436 b=4.8436 c=4.8436 alpha=90.00 beta=90.00 gamma=90.00
With the nearest neighbours (Å) after each atom.
Positions (direct):
Zr: 0.0000 0.0000 0.0000  12 W 3.42
W: 0.0000 0.5000 0.5000  2 Au 2.42
W: 0.5000 0.0000 0.5000  2 Au 2.42
W: 0.5000 0.5000 0.0000  2 Au 2.42
Au: 0.5000 0.5000 0.5000  6 W 2.42

Properties
SG	Pm-3m
energy relative to the lowest polymorph listed for this composition	0.0	meV/atom
calculated volume	113.6	Å³ per cell
total DFT energy (no corrections)	-7.858	eV/atom
mass density	12.27	g/cm3
E_form	2279	meV/atom